VASP calculation (PBE+U) on a geometry-optimized VIrRhO6 structure.

Unit cell a=4.9456 b=4.9456 c=8.9281 alpha=90.00 beta=90.00 gamma=120.00
Closest atoms and distances in Å follow each position.
Space group P-31c (No. 163)
Asymmetric unit:
1 V 0.3333 0.6667 0.2500 x2  6 O 1.92
2 Ir 0.3333 0.6667 0.7500 x2  6 O 2.01
3 Rh 0.0000 0.0000 0.0000 x2  6 O 2.03
4 O 0.0144 0.3461 0.1278 x12  1 V 1.92, 1 Ir 2.01, 1 Rh 2.03

The calculation puts the total energy at -0.2584 hartree per atom.